An optimized crystal structure of YCdMoO6. Source: the Alexandria database, functional PBE with a Hubbard U.

M_tot (Bohr magnetons per cell): 1.1
Raw total energy (eV/atom): -6.682

Cell lengths 4.6683, 5.5945, 5.5945 Å; angles 120.00, 90.00, 90.00 degrees
Element x y z (fractional)
Y1 0.5000 0.6667 0.3333
Cd1 0.0000 0.3333 0.6667
Mo1 0.5000 0.0000 0.0000
O1 0.7287 0.7081 0.7088
O2 0.7287 0.2912 0.9993
O3 0.7287 0.0007 0.2919
O4 0.2713 0.2912 0.2919
O5 0.2713 0.7081 0.9993
O6 0.2713 0.0007 0.7088